Entry from the Alexandria database: crystalline Ca2BiPtPb at its relaxed geometry (GGA-PBE).

Cell lengths 5.548, 5.548, 5.206 Å; angles 90.00, 90.00, 90.00 degrees
Sites, in units of the cell vectors:
Pb  0.000  0.000  0.500
Ca  0.000  0.500  0.000
Ca  0.500  0.000  0.000
Bi  0.500  0.500  0.500
Pt  0.000  0.000  0.000

- spin magnetization (μB/f.u.) = 0.00
- formation energy (eV/atom) = -0.541